# 1
DFT (PBE-GGA) results for LiMn2Si2 after structural relaxation.

Cell and atoms, written as POSCAR:
```
LiMn2Si2
1.0
-1.9038 1.9038 5.1018
1.9038 -1.9038 5.1018
1.9038 1.9038 -5.1018
Li Mn Si
1 2 2
direct
0.0000 0.0000 0.0000
0.2500 0.7500 0.5000
0.7500 0.2500 0.5000
0.3829 0.3829 0.0000
0.6171 0.6171 0.0000
```

Output
- DFT total energy: -6.353 eV/atom
- Raw formation energy: -133 meV/atom
- ρ: 3.9 g/cm3
- Crystal system: tetragonal

# 2
DFT (PBE-GGA) results for NiAgPb2 after structural relaxation.

Cell and atoms, written as POSCAR:
```
NiAgPb2
1.0
0.0000 3.5215 3.5215
3.5215 0.0000 3.5215
3.5215 3.5215 0.0000
Ni Ag Pb
1 1 2
direct
0.0000 0.0000 0.0000
0.5000 0.5000 0.5000
0.2500 0.2500 0.2500
0.7500 0.7500 0.7500
```

Output
- Energy of formation: 275 meV per atom
- DFT total energy: -3.737 eV/atom
- ρ: 11.0 g/cm3
- Crystal system: cubic

# 3
DFT (PBE-GGA) results for CoSbPt2 after structural relaxation.

Cell and atoms, written as POSCAR:
```
CoSbPt2
1.0
-2.0168 2.0168 3.9338
2.0168 -2.0168 3.9338
2.0168 2.0168 -3.9338
Co Sb Pt
1 1 2
direct
0.0000 0.0000 0.0000
0.7500 0.2500 0.5000
0.2500 0.7500 0.5000
0.5000 0.5000 0.0000
```

Output
- DFT total energy: -5.855 eV/atom
- Raw formation energy: -28 meV/atom
- ρ: 14.8 g/cm3
- Crystal system: tetragonal